A plane-wave DFT calculation with PBE was carried out for a relaxed La2CoOs crystal.

Results
Total DFT energy (no corrections) (eV/atom): -6.6911
N(E_F) (states/eV per cell): 8.8
Total moment (μB per atom): 0.00
Space group: I-42d, No. 122

a = 7.513 Å, b = 7.513 Å, c = 6.162 Å
α = 52.44°, β = 52.44°, γ = 90.00°
Sites, in units of the cell vectors:
La1 0.138 0.625 0.250
Os1 0.000 0.000 0.000
La2 0.612 0.125 0.250
Co1 0.500 0.500 0.000
Co2 0.250 0.750 0.500
La3 0.875 0.862 0.750
Os2 0.750 0.250 0.500
La4 0.375 0.388 0.750

A plane-wave DFT calculation with PBE was carried out for a relaxed Er2InCu crystal.

Results
Total DFT energy (no corrections) (eV/atom): -4.3536
N(E_F) (states/eV per cell): 3.2
Total moment (μB per atom): 0.00
Space group: P4/mmm, No. 123

a = 3.494 Å, b = 3.494 Å, c = 7.597 Å
α = 90.00°, β = 90.00°, γ = 90.00°
Sites, in units of the cell vectors:
Er1 0.000 0.000 0.222
Cu1 0.500 0.500 0.000
In1 0.500 0.500 0.500
Er2 0.000 0.000 0.778

A plane-wave DFT calculation with PBE was carried out for a relaxed CaPmEr4 crystal.

Results
Total DFT energy (no corrections) (eV/atom): -3.9464
N(E_F) (states/eV per cell): 8.1
Total moment (μB per atom): 0.00
Space group: F-43m, No. 216

a = 6.629 Å, b = 6.629 Å, c = 6.629 Å
α = 60.00°, β = 60.00°, γ = 60.00°
Sites, in units of the cell vectors:
Er1 0.624 0.624 0.624
Er2 0.624 0.624 0.129
Ca1 0.000 0.000 0.000
Er3 0.624 0.129 0.624
Pm1 0.250 0.250 0.250
Er4 0.129 0.624 0.624

A plane-wave DFT calculation with PBE was carried out for a relaxed Pm4Y2Ho2Er crystal.

Results
Total DFT energy (no corrections) (eV/atom): -5.0522
N(E_F) (states/eV per cell): 13.3
Total moment (μB per atom): 0.00
Space group: C2/m, No. 12

a = 5.076 Å, b = 8.029 Å, c = 8.026 Å
α = 107.48°, β = 90.00°, γ = 108.43°
Sites, in units of the cell vectors:
Y1 0.888 0.777 0.330
Y2 0.112 0.223 0.670
Er1 0.000 0.000 0.000
Pm1 0.555 0.110 0.330
Pm2 0.222 0.444 0.332
Ho1 0.333 0.667 0.000
Pm3 0.778 0.556 0.668
Ho2 0.667 0.333 0.000
Pm4 0.445 0.890 0.670

A plane-wave DFT calculation with PBE was carried out for a relaxed Cr3BiAs crystal.

Results
Energy above the lowest structure with this stoichiometry (meV per atom): 0
N(E_F) (states/eV per cell): 1.2
Total moment (μB per atom): 2.38
Space group: Pm-3m, No. 221

a = 4.822 Å, b = 4.822 Å, c = 4.822 Å
α = 90.00°, β = 90.00°, γ = 90.00°
Sites, in units of the cell vectors:
Cr1 0.000 0.000 0.500
Cr2 0.000 0.500 0.000
Bi1 0.500 0.500 0.500
As1 0.000 0.000 0.000
Cr3 0.500 0.000 0.000

A plane-wave DFT calculation with PBE was carried out for a relaxed AgPtCl2 crystal.

Results
Energy above the lowest structure with this stoichiometry (meV per atom): 511
N(E_F) (states/eV per cell): 4.5
Total moment (μB per atom): 0.26
Space group: Fm-3m, No. 225
Energy relative to the elements, uncorrected (meV per atom): 387

a = 4.727 Å, b = 4.727 Å, c = 4.727 Å
α = 60.00°, β = 60.00°, γ = 60.00°
Sites, in units of the cell vectors:
Cl1 0.250 0.250 0.250
Ag1 0.000 0.000 0.000
Pt1 0.500 0.500 0.500
Cl2 0.750 0.750 0.750

A plane-wave DFT calculation with PBE was carried out for a relaxed LiFeReRu crystal.

Results
Total DFT energy (no corrections) (eV/atom): -7.9269
N(E_F) (states/eV per cell): 2.5
Total moment (μB per atom): 0.00
Space group: F-43m, No. 216

a = 4.152 Å, b = 4.152 Å, c = 4.152 Å
α = 60.00°, β = 60.00°, γ = 60.00°
Sites, in units of the cell vectors:
Li1 0.500 0.500 0.500
Re1 0.000 0.000 0.000
Ru1 0.750 0.750 0.750
Fe1 0.250 0.250 0.250

A plane-wave DFT calculation with PBE was carried out for a relaxed LiAl2Pd4 crystal.

Results
Energy above the lowest structure with this stoichiometry (meV per atom): 428
N(E_F) (states/eV per cell): 3.0
Total moment (μB per atom): 0.00
Space group: I4/mmm, No. 139

a = 4.167 Å, b = 4.167 Å, c = 7.011 Å
α = 72.71°, β = 72.71°, γ = 90.00°
Sites, in units of the cell vectors:
Pd1 0.000 0.500 0.000
Al1 0.627 0.627 0.746
Pd2 0.185 0.185 0.630
Al2 0.373 0.373 0.254
Pd3 0.815 0.815 0.370
Pd4 0.500 0.000 0.000
Li1 0.000 0.000 0.000

A plane-wave DFT calculation with PBE was carried out for a relaxed KTbAgTe2 crystal.

Results
N(E_F) (states/eV per cell): 3.8
Total moment (μB per atom): 0.00
Space group: P2/c, No. 13
Energy relative to the elements, uncorrected (meV per atom): -813

a = 4.880 Å, b = 8.275 Å, c = 8.669 Å
α = 95.34°, β = 90.00°, γ = 90.00°
Sites, in units of the cell vectors:
Te1 0.392 0.253 0.021
Ag1 0.000 0.000 0.000
K1 0.087 0.500 0.750
Te2 0.392 0.747 0.479
Te3 0.608 0.747 0.979
Te4 0.608 0.253 0.521
Ag2 0.000 0.000 0.500
K2 0.913 0.500 0.250
Tb1 0.497 0.000 0.250
Tb2 0.503 0.000 0.750

A plane-wave DFT calculation with PBE was carried out for a relaxed Pr2TmPuBi4 crystal.

Results
Total DFT energy (no corrections) (eV/atom): -6.2308
N(E_F) (states/eV per cell): 18.3
Total moment (μB per atom): 0.64
Space group: P2/m, No. 10

a = 4.573 Å, b = 7.906 Å, c = 7.897 Å
α = 109.44°, β = 90.00°, γ = 90.00°
Sites, in units of the cell vectors:
Bi1 0.500 0.249 0.240
Pr1 0.500 0.000 0.500
Tm1 0.500 0.500 0.000
Pu1 0.000 0.000 0.000
Bi2 0.000 0.743 0.238
Bi3 0.500 0.751 0.760
Bi4 0.000 0.257 0.762
Pr2 0.000 0.500 0.500